[1]
PBE BaP2Rh, optimized geometry; Fermi-level density of states = 0.937 states/eV per atom; formation energy = -0.739 eV/f.u.; symmetry = No. 44
1.0
5.290 -0.006 0.001
-0.046 5.290 -0.001
-1.592 -3.664 3.468
Ba P Rh
1 2 1
Direct
0.764 0.264 0.500
0.092 0.092 0.000
0.248 0.748 0.500
0.396 0.396 0.000

---

[2]
PBE Dy2ZnRu2, optimized geometry; Fermi-level density of states = 1.011 states/eV per atom; formation energy = -1.666 eV/f.u.; symmetry = No. 15
1.0
5.438 0.000 0.000
-2.719 4.825 0.024
0.000 -2.183 7.665
Dy Zn Ru
4 2 4
Direct
0.497 0.294 0.148
0.202 0.706 0.352
0.503 0.706 0.852
0.798 0.294 0.648
0.856 0.000 0.250
0.144 0.000 0.750
0.718 0.727 0.492
0.991 0.273 0.008
0.282 0.273 0.508
0.009 0.727 0.992

---

[3]
PBE Ti4Tc2Ni3, optimized geometry; Fermi-level density of states = 0.648 states/eV per atom; formation energy = -3.474 eV/f.u.; symmetry = No. 12
1.0
4.236 0.000 0.001
2.118 3.664 0.136
-0.001 -0.306 8.056
Ti Tc Ni
4 2 3
Direct
0.667 0.667 0.887
0.000 0.001 0.334
0.000 0.999 0.666
0.333 0.333 0.113
0.334 0.333 0.778
0.666 0.667 0.222
0.333 0.334 0.442
0.000 0.000 0.000
0.667 0.666 0.558

---

[4]
PBE LaIn2Pd, optimized geometry; Fermi-level density of states = 0.648 states/eV per atom; formation energy = -2.073 eV/f.u.; symmetry = No. 123
1.0
3.466 0.000 0.000
0.000 3.466 0.000
0.000 0.000 7.818
In Pd La
2 1 1
Direct
0.000 0.000 0.803
0.000 0.000 0.197
0.500 0.500 0.000
0.500 0.500 0.500